DFT (PBE) results for an optimized crystal structure of Pr3Mg3Tl2Pt.

a b c (Å): 7.704 7.704 4.579
angles (deg): 90.00 90.00 120.00
Fractional positions:
Mg 0.773 0.000 0.500
Mg 0.227 0.227 0.500
Mg 0.000 0.773 0.500
Pr 0.398 0.000 0.000
Pr 0.000 0.398 0.000
Pr 0.602 0.602 0.000
Pt 0.000 0.000 0.000
Tl 0.667 0.333 0.500
Tl 0.333 0.667 0.500

Values from the calculation:
- Calculated total energy: -3.826 eV/atom